1.
Computed, not measured: AcPrNdDy after structural relaxation at the PBE level of DFT.

```
AcPrNdDy
1.0
5.944 0.000 0.000
2.972 5.147 0.000
2.972 1.716 4.853
Pr Ac Nd Dy
1 1 1 1
direct
0.750 0.750 0.750 Pr
0.500 0.500 0.500 Ac
0.250 0.250 0.250 Nd
0.000 0.000 0.000 Dy
```

**Energy relative to the lowest polymorph listed for this composition**: 0.1179 eV/atom
**Energy of formation**: 162 meV/atom

2.
Computed, not measured: Hf2Cd3Pd4 after structural relaxation at the PBE level of DFT.

```
Hf2Cd3Pd4
1.0
-0.047 3.983 1.314
-4.247 1.545 1.859
0.679 -2.778 8.455
Hf Cd Pd
2 3 4
direct
0.329 0.342 0.787 Hf
0.671 0.658 0.213 Hf
0.338 0.323 0.439 Cd
0.000 0.000 0.000 Cd
0.662 0.677 0.561 Cd
0.665 0.671 0.889 Pd
0.006 0.987 0.322 Pd
0.994 0.013 0.678 Pd
0.335 0.329 0.111 Pd
```

**Energy of formation**: -494 meV/atom

3.
Computed, not measured: Tb5NdEr5 after structural relaxation at the PBE level of DFT.

```
Tb5NdEr5
1.0
-3.647 1.530 -4.613
-2.122 -3.435 4.541
-3.183 9.425 5.642
Tb Nd Er
5 1 5
direct
0.337 0.169 0.500 Tb
0.000 0.000 0.264 Tb
0.831 0.663 0.500 Tb
0.831 0.169 0.500 Tb
0.000 0.000 0.736 Tb
0.333 0.667 0.000 Nd
0.667 0.333 0.160 Er
0.667 0.333 0.840 Er
0.333 0.667 0.328 Er
0.333 0.667 0.672 Er
0.000 0.000 0.000 Er
```

**Energy of formation**: 328 meV/atom

4.
Computed, not measured: AcSc2CrN4 after structural relaxation at the PBE level of DFT.

```
AcSc2CrN4
1.0
-0.912 2.950 -1.287
-4.530 -1.778 3.484
4.607 5.197 8.642
Ac Sc Cr N
2 4 2 8
direct
0.090 0.179 0.750 Ac
0.910 0.821 0.250 Ac
0.369 0.739 0.543 Sc
0.631 0.261 0.043 Sc
0.631 0.261 0.457 Sc
0.369 0.739 0.957 Sc
0.827 0.654 0.750 Cr
0.173 0.346 0.250 Cr
0.260 0.520 0.115 N
0.740 0.480 0.615 N
0.740 0.480 0.885 N
0.260 0.520 0.385 N
0.000 0.000 0.500 N
0.000 0.000 0.000 N
0.410 0.821 0.750 N
0.590 0.179 0.250 N
```

**Raw formation energy**: -1.28 eV/atom

5.
Computed, not measured: CeNdHgOs after structural relaxation at the PBE level of DFT.

```
CeNdHgOs
1.0
-4.056 -2.781 -1.543
-3.257 -1.957 3.481
-4.761 1.923 0.441
Nd Os Hg Ce
1 1 1 1
direct
0.500 0.500 0.500 Nd
0.250 0.250 0.250 Os
0.750 0.750 0.750 Hg
0.000 0.000 0.000 Ce
```

**Energy of formation**: -110 meV/atom

6.
Computed, not measured: Mn2CuN after structural relaxation at the PBE level of DFT.

```
Mn2CuN
1.0
-1.738 3.364 -4.462
3.224 -3.213 -3.678
-1.346 -1.550 -4.482
Mn Cu N
4 2 2
direct
0.525 0.125 0.250 Mn
0.225 0.625 0.250 Mn
0.375 0.475 0.750 Mn
0.875 0.775 0.750 Mn
0.000 0.000 0.000 Cu
0.750 0.250 0.500 Cu
0.500 0.500 0.000 N
0.250 0.750 0.500 N
```

**Raw formation energy**: 0.14 eV/atom

7.
Computed, not measured: FeCuOs2 after structural relaxation at the PBE level of DFT.

```
FeCuOs2
1.0
2.625 -0.010 0.000
-1.176 2.347 0.000
0.000 0.000 8.843
Cu Fe Os
1 1 2
direct
0.500 0.500 0.250 Cu
0.500 0.500 0.750 Fe
0.000 0.000 0.994 Os
0.000 0.000 0.506 Os
```

**Energy relative to the lowest polymorph listed for this composition**: 0.1822 eV/atom
**Energy of formation**: 385 meV/atom

8.
Computed, not measured: LaSc2Cd2 after structural relaxation at the PBE level of DFT.

```
LaSc2Cd2
1.0
-8.050 1.208 -2.748
-2.889 -5.251 6.155
-0.333 2.737 2.178
Sc Cd La
4 4 2
direct
0.172 0.672 0.500 Sc
0.672 0.828 0.500 Sc
0.828 0.328 0.500 Sc
0.328 0.172 0.500 Sc
0.375 0.875 0.000 Cd
0.875 0.625 0.000 Cd
0.625 0.125 0.000 Cd
0.125 0.375 0.000 Cd
0.000 0.000 0.000 La
0.500 0.500 0.000 La
```

**Energy relative to the lowest polymorph listed for this composition**: 0.0401 eV/atom
**Energy of formation**: -141 meV/atom

9.
Computed, not measured: CaB4 after structural relaxation at the PBE level of DFT.

```
CaB4
1.0
-3.113 6.170 1.880
-6.393 -3.229 0.014
0.492 -0.956 3.954
Ca B
4 16
direct
0.686 0.186 0.500 Ca
0.314 0.814 0.500 Ca
0.186 0.314 0.500 Ca
0.814 0.686 0.500 Ca
0.000 0.000 0.294 B
0.000 0.000 0.706 B
0.500 0.500 0.706 B
0.500 0.500 0.294 B
0.175 0.036 0.000 B
0.825 0.964 0.000 B
0.036 0.825 0.000 B
0.675 0.464 0.000 B
0.964 0.175 0.000 B
0.325 0.536 0.000 B
0.536 0.675 0.000 B
0.464 0.325 0.000 B
0.086 0.586 0.000 B
0.914 0.414 0.000 B
0.586 0.914 0.000 B
0.414 0.086 0.000 B
```

**Energy relative to the lowest polymorph listed for this composition**: 0.0000 eV/atom
**Energy of formation**: -393 meV/atom

10.
Computed, not measured: LiTl2As after structural relaxation at the PBE level of DFT.

```
LiTl2As
1.0
4.392 -0.007 0.019
2.206 3.798 0.019
2.160 1.241 6.483
Tl As Li
2 1 1
direct
0.026 0.026 0.921 Tl
0.224 0.224 0.326 Tl
0.458 0.458 0.628 As
0.792 0.792 0.625 Li
```

**Energy relative to the lowest polymorph listed for this composition**: 0.0000 eV/atom
**Energy of formation**: -232 meV/atom

11.
Computed, not measured: YBe2Os2 after structural relaxation at the PBE level of DFT.

```
YBe2Os2
1.0
7.261 0.000 0.000
0.000 7.261 0.000
0.000 0.000 2.697
Y Be Os
2 4 4
direct
0.000 0.000 0.000 Y
0.500 0.500 0.000 Y
0.155 0.655 0.500 Be
0.655 0.845 0.500 Be
0.845 0.345 0.500 Be
0.345 0.155 0.500 Be
0.366 0.866 0.000 Os
0.866 0.634 0.000 Os
0.634 0.134 0.000 Os
0.134 0.366 0.000 Os
```

**Energy relative to the lowest polymorph listed for this composition**: 0.2098 eV/atom
**Energy of formation**: 127 meV/atom

12.
Computed, not measured: CuBi2O after structural relaxation at the PBE level of DFT.

```
CuBi2O
1.0
-1.692 -1.629 4.717
3.017 -4.301 -0.403
5.809 0.365 5.154
O Bi Cu
2 4 2
direct
0.500 0.500 0.000 O
0.250 0.750 0.500 O
0.569 0.125 0.250 Bi
0.181 0.625 0.250 Bi
0.375 0.431 0.750 Bi
0.875 0.819 0.750 Bi
0.000 0.000 0.000 Cu
0.750 0.250 0.500 Cu
```

**Raw formation energy**: -0.08 eV/atom